Here is AlVBrO2 after structural relaxation from the Alexandria database. Energies are from PBE with a Hubbard U.

Unit cell a=3.7149 b=3.7149 c=5.2390 alpha=90.00 beta=90.00 gamma=90.00
Last column: nearest neighbours and their distance in Å.
Space group P4/mmm (No. 123)
Unique sites:
Al 0.0000 0.0000 0.0000  4 O 1.86
V 0.5000 0.5000 0.5000  4 Br 2.63
Br 0.0000 0.0000 0.5000  2 Al 2.62, 4 V 2.63
O 0.0000 0.5000 0.0000  2 Al 1.86

Crystal system = tetragonal
Raw total energy = -5.643 eV per atom